Compound: ZnReRu2
Source: Alexandria
Functional: SCAN
Structure: single point on PBEsol structure

Values from the calculation:
Magnetization, Bohr magnetons per cell: 0.00
Crystal system: tetragonal
DOS at the Fermi energy, states/eV per atom: 0.550
Space-group type: No. 123
Calculated formation energy, eV/atom: 0.156
Calculated total energy, eV/atom: -38.41

a b c (Å): 4.318 4.318 2.941
angles (deg): 90.00 90.00 90.00
Positions (direct):
Zn: 0.000 0.000 0.000
Re: 0.500 0.500 0.000
Ru: 0.000 0.500 0.500
Ru: 0.500 0.000 0.500



Compound: ZnReRu2
Source: Alexandria
Functional: SCAN
Structure: single point on PBEsol structure

Values from the calculation:
Magnetization, Bohr magnetons per cell: 0.00
Crystal system: orthorhombic
DOS at the Fermi energy, states/eV per atom: 0.684
Space-group type: No. 25
Calculated formation energy, eV/atom: 0.091
Calculated total energy, eV/atom: -38.48

a b c (Å): 2.714 3.917 5.122
angles (deg): 90.00 90.00 90.00
Positions (direct):
Zn: 0.000 0.000 0.000
Re: 0.500 0.500 0.263
Ru: 0.000 0.000 0.499
Ru: 0.500 0.500 0.781



Compound: ZnReRu2
Source: Alexandria
Functional: SCAN
Structure: single point on PBEsol structure

Values from the calculation:
Magnetization, Bohr magnetons per cell: 0.01
Crystal system: orthorhombic
DOS at the Fermi energy, states/eV per atom: 0.912
Space-group type: No. 65
Calculated formation energy, eV/atom: 0.243
Calculated total energy, eV/atom: -38.32

a b c (Å): 2.663 2.663 8.758
angles (deg): 90.00 90.00 116.30
Positions (direct):
Zn: 0.000 0.000 0.000
Re: 0.000 0.000 0.500
Ru: 0.500 0.500 0.249
Ru: 0.500 0.500 0.751



Compound: ZnReRu2
Source: Alexandria
Functional: SCAN
Structure: single point on PBEsol structure

Values from the calculation:
Magnetization, Bohr magnetons per cell: 0.00
Crystal system: tetragonal
DOS at the Fermi energy, states/eV per atom: 1.009
Space-group type: No. 123
Calculated formation energy, eV/atom: -0.009
Calculated total energy, eV/atom: -38.58

a b c (Å): 2.769 2.769 7.119
angles (deg): 90.00 90.00 90.00
Positions (direct):
Zn: 0.000 0.000 0.000
Re: 0.000 0.000 0.500
Ru: 0.500 0.500 0.249
Ru: 0.500 0.500 0.751



Compound: ZnReRu3
Source: Alexandria
Functional: SCAN
Structure: single point on PBEsol structure

Values from the calculation:
Magnetization, Bohr magnetons per cell: 0.00
Crystal system: cubic
DOS at the Fermi energy, states/eV per atom: 0.925
Space-group type: No. 221
Calculated formation energy, eV/atom: 1.669
Calculated total energy, eV/atom: -36.15

a b c (Å): 4.593 4.593 4.593
angles (deg): 90.00 90.00 90.00
Positions (direct):
Zn: 0.000 0.000 0.000
Re: 0.500 0.500 0.500
Ru: 0.000 0.500 0.500
Ru: 0.500 0.000 0.500
Ru: 0.500 0.500 0.000



Compound: ZnReRu2
Source: Alexandria
Functional: SCAN
Structure: single point on PBEsol structure

Values from the calculation:
Magnetization, Bohr magnetons per cell: 0.00
Crystal system: trigonal
DOS at the Fermi energy, states/eV per atom: 0.934
Space-group type: No. 160
Calculated formation energy, eV/atom: 0.095
Calculated total energy, eV/atom: -38.47

a b c (Å): 8.827 8.827 8.827
angles (deg): 17.60 17.60 17.60
Positions (direct):
Zn: 0.000 0.000 0.000
Re: 0.754 0.754 0.754
Ru: 0.251 0.251 0.251
Ru: 0.502 0.502 0.502



Compound: ZnReRu2
Source: Alexandria
Functional: SCAN
Structure: single point on PBEsol structure

Values from the calculation:
Magnetization, Bohr magnetons per cell: 0.00
Crystal system: orthorhombic
DOS at the Fermi energy, states/eV per atom: 0.840
Space-group type: No. 47
Calculated formation energy, eV/atom: 0.056
Calculated total energy, eV/atom: -38.51

a b c (Å): 2.733 3.694 5.384
angles (deg): 90.00 90.00 90.00
Positions (direct):
Zn: 0.000 0.000 0.000
Re: 0.000 0.000 0.500
Ru: 0.500 0.500 0.248
Ru: 0.500 0.500 0.752



Compound: ZrRe3Ru
Source: Alexandria
Functional: SCAN
Structure: single point on PBEsol structure

Values from the calculation:
Magnetization, Bohr magnetons per cell: 1.71
Crystal system: cubic
DOS at the Fermi energy, states/eV per atom: 1.048
Space-group type: No. 221
Calculated formation energy, eV/atom: 2.981
Calculated total energy, eV/atom: -52.78

a b c (Å): 4.589 4.589 4.589
angles (deg): 90.00 90.00 90.00
Positions (direct):
Zr: 0.000 0.000 0.000
Re: 0.000 0.000 0.500
Re: 0.000 0.500 0.000
Re: 0.500 0.000 0.000
Ru: 0.500 0.500 0.500



Compound: Zr2ReRu
Source: Alexandria
Functional: SCAN
Structure: single point on PBEsol structure

Values from the calculation:
Magnetization, Bohr magnetons per cell: 0.00
Crystal system: trigonal
DOS at the Fermi energy, states/eV per atom: 1.187
Space-group type: No. 160
Calculated formation energy, eV/atom: 0.221
Calculated total energy, eV/atom: -41.61

a b c (Å): 10.093 10.093 10.093
angles (deg): 16.17 16.17 16.17
Positions (direct):
Zr: 0.000 0.000 0.000
Zr: 0.236 0.236 0.236
Re: 0.752 0.752 0.752
Ru: 0.486 0.486 0.486



Compound: Zr2ReRu
Source: Alexandria
Functional: SCAN
Structure: single point on PBEsol structure

Values from the calculation:
Magnetization, Bohr magnetons per cell: 0.00
Crystal system: orthorhombic
DOS at the Fermi energy, states/eV per atom: 0.642
Space-group type: No. 44
Calculated formation energy, eV/atom: -0.346
Calculated total energy, eV/atom: -42.18

a b c (Å): 5.448 5.448 5.448
angles (deg): 145.36 131.11 61.30
Positions (direct):
Zr: 0.000 0.000 0.000
Zr: 0.736 0.236 0.500
Re: 0.487 0.487 0.000
Ru: 0.249 0.749 0.500



Compound: Zr2ReRu
Source: Alexandria
Functional: SCAN
Structure: single point on PBEsol structure

Values from the calculation:
Magnetization, Bohr magnetons per cell: 0.00
Crystal system: monoclinic
DOS at the Fermi energy, states/eV per atom: 0.840
Space-group type: No. 10
Calculated formation energy, eV/atom: -0.177
Calculated total energy, eV/atom: -42.01

a b c (Å): 2.909 4.325 5.456
angles (deg): 90.00 97.56 90.00
Positions (direct):
Zr: 0.249 0.000 0.249
Zr: 0.751 0.000 0.751
Re: 0.000 0.500 0.500
Ru: 0.500 0.500 0.000



Compound: Zr2ReRu
Source: Alexandria
Functional: SCAN
Structure: single point on PBEsol structure

Values from the calculation:
Magnetization, Bohr magnetons per cell: 0.00
Crystal system: tetragonal
DOS at the Fermi energy, states/eV per atom: 0.750
Space-group type: No. 123
Calculated formation energy, eV/atom: -0.583
Calculated total energy, eV/atom: -42.41

a b c (Å): 3.240 3.240 6.514
angles (deg): 90.00 90.00 90.00
Positions (direct):
Zr: 0.000 0.000 0.250
Zr: 0.000 0.000 0.750
Re: 0.500 0.500 0.000
Ru: 0.500 0.500 0.500



Compound: ReSbS3
Source: Alexandria
Functional: SCAN
Structure: single point on PBEsol structure

Values from the calculation:
Magnetization, Bohr magnetons per cell: 0.00
ΔE_f (raw), eV per atom: 0.375
Crystal system: cubic
DOS at the Fermi energy, states/eV per atom: 1.169
Space-group type: No. 221
Calculated total energy, eV/atom: -27.07

a b c (Å): 4.601 4.601 4.601
angles (deg): 90.00 90.00 90.00
Positions (direct):
Re: 0.000 0.000 0.000
Sb: 0.500 0.500 0.500
S: 0.000 0.000 0.500
S: 0.000 0.500 0.000
S: 0.500 0.000 0.000



Compound: Sc3ReS
Source: Alexandria
Functional: SCAN
Structure: single point on PBEsol structure

Values from the calculation:
Magnetization, Bohr magnetons per cell: 0.00
ΔE_f (raw), eV per atom: 0.148
Crystal system: cubic
DOS at the Fermi energy, states/eV per atom: 1.228
Space-group type: No. 221
Calculated total energy, eV/atom: -24.54

a b c (Å): 4.962 4.962 4.962
angles (deg): 90.00 90.00 90.00
Positions (direct):
Sc: 0.000 0.000 0.500
Sc: 0.000 0.500 0.000
Sc: 0.500 0.000 0.000
Re: 0.000 0.000 0.000
S: 0.500 0.500 0.500



Compound: ScReSnS2
Source: Alexandria
Functional: SCAN
Structure: single point on PBEsol structure

Values from the calculation:
Magnetization, Bohr magnetons per cell: 3.87
ΔE_f (raw), eV per atom: 0.609
Crystal system: tetragonal
DOS at the Fermi energy, states/eV per atom: 0.469
Space-group type: No. 123
Calculated total energy, eV/atom: -27.49

a b c (Å): 4.749 4.749 5.165
angles (deg): 90.00 90.00 90.00
Positions (direct):
Sc: 0.000 0.000 0.000
Re: 0.000 0.000 0.500
Sn: 0.500 0.500 0.500
S: 0.000 0.500 0.000
S: 0.500 0.000 0.000



Compound: ReSe2S
Source: Alexandria
Functional: SCAN
Structure: single point on PBEsol structure

Values from the calculation:
Magnetization, Bohr magnetons per cell: 0.00
ΔE_f (raw), eV per atom: 0.964
Crystal system: cubic
DOS at the Fermi energy, states/eV per atom: 0.538
Space-group type: No. 225
Calculated total energy, eV/atom: -29.26

a b c (Å): 4.459 4.459 4.459
angles (deg): 60.00 60.00 60.00
Positions (direct):
Re: 0.000 0.000 0.000
Se: 0.250 0.250 0.250
Se: 0.750 0.750 0.750
S: 0.500 0.500 0.500



Compound: ReSeS2
Source: Alexandria
Functional: SCAN
Structure: single point on PBEsol structure

Values from the calculation:
Magnetization, Bohr magnetons per cell: 0.00
ΔE_f (raw), eV per atom: 0.925
Crystal system: cubic
DOS at the Fermi energy, states/eV per atom: 0.516
Space-group type: No. 225
Calculated total energy, eV/atom: -26.68

a b c (Å): 4.340 4.340 4.340
angles (deg): 60.00 60.00 60.00
Positions (direct):
Re: 0.000 0.000 0.000
Se: 0.500 0.500 0.500
S: 0.250 0.250 0.250
S: 0.750 0.750 0.750



Compound: Tl2ReSnS
Source: Alexandria
Functional: SCAN
Structure: single point on PBEsol structure

Values from the calculation:
Magnetization, Bohr magnetons per cell: 2.00
ΔE_f (raw), eV per atom: 0.663
Crystal system: tetragonal
DOS at the Fermi energy, states/eV per atom: 1.166
Space-group type: No. 123
Calculated total energy, eV/atom: -51.61

a b c (Å): 5.246 5.246 5.080
angles (deg): 90.00 90.00 90.00
Positions (direct):
Tl: 0.000 0.500 0.000
Tl: 0.500 0.000 0.000
Re: 0.000 0.000 0.000
Sn: 0.000 0.000 0.500
S: 0.500 0.500 0.500



Compound: Sr2Re6S11
Source: Alexandria
Functional: SCAN
Structure: single point on PBEsol structure

Values from the calculation:
Magnetization, Bohr magnetons per cell: 0.00
ΔE_f (raw), eV per atom: -0.951
Crystal system: trigonal
Space-group type: No. 167
Calculated total energy, eV/atom: -31.32

a b c (Å): 11.698 11.698 11.698
angles (deg): 45.16 45.16 45.16
Positions (direct):
Sr: 0.189 0.189 0.189
Sr: 0.311 0.311 0.311
Sr: 0.689 0.689 0.689
Sr: 0.811 0.811 0.811
Re: 0.005 0.215 0.883
Re: 0.117 0.995 0.785
Re: 0.215 0.883 0.005
Re: 0.285 0.495 0.617
Re: 0.383 0.715 0.505
Re: 0.495 0.617 0.285
Re: 0.505 0.383 0.715
Re: 0.617 0.285 0.495
Re: 0.715 0.505 0.383
Re: 0.785 0.117 0.995
Re: 0.883 0.005 0.215
Re: 0.995 0.785 0.117
S: 0.002 0.498 0.750
S: 0.085 0.698 0.309
S: 0.093 0.093 0.093
S: 0.191 0.802 0.415
S: 0.198 0.585 0.809
S: 0.250 0.998 0.502
S: 0.302 0.691 0.915
S: 0.309 0.085 0.698
S: 0.407 0.407 0.407
S: 0.415 0.191 0.802
S: 0.498 0.750 0.002
S: 0.502 0.250 0.998
S: 0.585 0.809 0.198
S: 0.593 0.593 0.593
S: 0.691 0.915 0.302
S: 0.698 0.309 0.085
S: 0.750 0.002 0.498
S: 0.802 0.415 0.191
S: 0.809 0.198 0.585
S: 0.907 0.907 0.907
S: 0.915 0.302 0.691
S: 0.998 0.502 0.250



Compound: ReTeS3
Source: Alexandria
Functional: SCAN
Structure: single point on PBEsol structure

Values from the calculation:
Magnetization, Bohr magnetons per cell: 0.00
ΔE_f (raw), eV per atom: 0.356
Crystal system: cubic
DOS at the Fermi energy, states/eV per atom: 0.497
Space-group type: No. 221
Calculated total energy, eV/atom: -27.09

a b c (Å): 4.594 4.594 4.594
angles (deg): 90.00 90.00 90.00
Positions (direct):
Re: 0.000 0.000 0.000
Te: 0.500 0.500 0.500
S: 0.000 0.000 0.500
S: 0.000 0.500 0.000
S: 0.500 0.000 0.000